(1)
The following is a PBE calculation of a geometry-optimized Sr2In5Sn3 structure, from Alexandria.

Values from the calculation:
E_form in eV/f.u.: -2.3

a b c (Å): 10.025 10.025 10.025
angles (deg): 110.85 85.67 136.02
Fractional positions:
Sr: 0.125 0.240 0.365
Sr: 0.375 0.740 0.115
Sr: 0.625 0.260 0.885
Sr: 0.875 0.760 0.635
In: 0.009 0.750 0.259
In: 0.132 0.884 0.016
In: 0.250 0.750 0.500
In: 0.368 0.384 0.752
In: 0.491 0.750 0.741
In: 0.509 0.250 0.259
In: 0.632 0.616 0.248
In: 0.750 0.250 0.500
In: 0.868 0.116 0.984
In: 0.991 0.250 0.741
Sn: 0.120 0.634 0.754
Sn: 0.250 0.250 0.000
Sn: 0.380 0.134 0.514
Sn: 0.620 0.866 0.486
Sn: 0.750 0.750 0.000
Sn: 0.880 0.366 0.246

***

(2)
The following is a PBE calculation of a geometry-optimized Cs2PbBr2F4 structure, from Alexandria.

Values from the calculation:
Calculated total energy in eV per cell: -34.1

a b c (Å): 6.933 6.933 6.933
angles (deg): 114.55 114.55 99.72
Fractional positions:
Cs: 0.250 0.750 0.500
Cs: 0.750 0.250 0.500
Pb: 0.000 0.000 0.000
Br: 0.297 0.297 0.000
Br: 0.703 0.703 0.000
F: 0.202 0.202 0.405
F: 0.202 0.798 0.000
F: 0.798 0.202 0.000
F: 0.798 0.798 0.595

***

(3)
The following is a PBE calculation of a geometry-optimized GeH2Au structure, from Alexandria.

Values from the calculation:
Excess energy over the best structure of this formula in the dataset in meV per atom: 0

a b c (Å): 5.594 5.594 5.594
angles (deg): 128.79 128.79 75.35
Fractional positions:
Ge: 0.000 0.000 0.000
Ge: 0.750 0.250 0.500
H: 0.211 0.625 0.086
H: 0.375 0.461 0.586
H: 0.539 0.125 0.914
H: 0.875 0.789 0.414
Au: 0.250 0.750 0.500
Au: 0.500 0.500 0.000

***

(4)
The following is a PBE calculation of a geometry-optimized Na2FeCuH6 structure, from Alexandria.

Values from the calculation:
Calculated total energy in eV per cell: -35.6

a b c (Å): 4.931 4.931 4.931
angles (deg): 119.91 119.91 90.16
Fractional positions:
Na: 0.250 0.750 0.500
Na: 0.750 0.250 0.500
Fe: 0.000 0.000 0.000
Cu: 0.500 0.500 0.000
H: 0.237 0.237 0.475
H: 0.237 0.763 0.000
H: 0.238 0.238 0.000
H: 0.762 0.762 0.000
H: 0.763 0.237 0.000
H: 0.763 0.763 0.525

***

(5)
The following is a PBE calculation of a geometry-optimized Cs2LaRhO structure, from Alexandria.

Values from the calculation:
Calculated total energy in eV per cell: -16.3

a b c (Å): 7.320 7.320 4.789
angles (deg): 90.00 90.00 90.00
Fractional positions:
Cs: 0.000 0.500 0.000
Cs: 0.500 0.000 0.000
La: 0.000 0.000 0.000
Rh: 0.000 0.000 0.500
O: 0.500 0.500 0.500

***

(6)
The following is a PBE calculation of a geometry-optimized BaAc7Co3 structure, from Alexandria.

Values from the calculation:
E_form in eV/f.u.: 0.5

a b c (Å): 8.386 8.386 6.892
angles (deg): 90.00 90.00 120.00
Fractional positions:
Ba: 0.000 0.000 0.000
Ac: 0.164 0.329 0.515
Ac: 0.164 0.836 0.515
Ac: 0.504 0.008 0.973
Ac: 0.504 0.496 0.973
Ac: 0.667 0.333 0.509
Ac: 0.671 0.836 0.515
Ac: 0.992 0.496 0.973
Co: 0.340 0.170 0.737
Co: 0.830 0.170 0.737
Co: 0.830 0.660 0.737

***

(7)
The following is a PBE calculation of a geometry-optimized Dy5Hg2Bi structure, from Alexandria.

Values from the calculation:
E_form in eV/f.u.: -3.9

a b c (Å): 8.808 8.808 8.808
angles (deg): 123.54 123.54 83.97
Fractional positions:
Dy: 0.000 0.000 0.000
Dy: 0.006 0.506 0.804
Dy: 0.201 0.006 0.500
Dy: 0.299 0.799 0.804
Dy: 0.494 0.299 0.500
Dy: 0.500 0.500 0.000
Dy: 0.506 0.701 0.500
Dy: 0.701 0.201 0.196
Dy: 0.799 0.994 0.500
Dy: 0.994 0.494 0.196
Hg: 0.141 0.359 0.500
Hg: 0.359 0.859 0.217
Hg: 0.641 0.141 0.783
Hg: 0.859 0.641 0.500
Bi: 0.250 0.250 0.000
Bi: 0.750 0.750 0.000

***

(8)
The following is a PBE calculation of a geometry-optimized Rb3Tb3BiTe8 structure, from Alexandria.

Values from the calculation:
Calculated total energy in eV per cell: -62.5

a b c (Å): 8.936 8.936 10.213
angles (deg): 116.10 116.10 59.81
Fractional positions:
Rb: 0.000 0.000 0.000
Rb: 0.000 0.500 0.000
Rb: 0.500 0.000 0.000
Tb: 0.000 0.500 0.500
Tb: 0.500 0.000 0.500
Tb: 0.500 0.500 0.500
Bi: 0.000 0.000 0.500
Te: 0.238 0.238 0.701
Te: 0.238 0.726 0.701
Te: 0.266 0.266 0.299
Te: 0.274 0.762 0.299
Te: 0.726 0.238 0.701
Te: 0.734 0.734 0.701
Te: 0.762 0.274 0.299
Te: 0.762 0.762 0.299